DFT (PBE) results for Li3Sb2P3O12 after structural relaxation.

Cell: 5.153 5.153 20.086 Å, 90.89 90.89 66.39°
Atoms (fractional coordinates):
O  0.233  0.233  0.457
Sb  0.000  0.000  0.500
P  0.353  0.353  0.402
Li  0.338  0.338  0.913
O  0.767  0.767  0.543
Li  0.340  0.340  0.231
O  0.247  0.688  0.083
O  0.715  0.715  0.669
P  0.355  0.355  0.080
Sb  0.999  0.999  0.679
O  0.244  0.244  0.698
P  0.347  0.347  0.763
Li  0.003  0.003  0.159
O  0.318  0.761  0.239
O  0.761  0.318  0.239
O  0.732  0.732  0.989
P  0.653  0.653  0.237
O  0.239  0.682  0.761
Sb  0.001  0.001  0.321
O  0.312  0.753  0.917
O  0.247  0.247  0.824
O  0.285  0.285  0.331
Li  0.660  0.660  0.769
O  0.268  0.268  0.011
Li  0.662  0.662  0.087
O  0.753  0.312  0.917
P  0.647  0.647  0.598
O  0.314  0.771  0.589
O  0.686  0.229  0.411
O  0.229  0.686  0.411
P  0.645  0.645  0.920
O  0.756  0.756  0.302
Li  0.997  0.997  0.841
O  0.682  0.239  0.761
O  0.244  0.244  0.138
O  0.753  0.753  0.176
O  0.688  0.247  0.083
O  0.756  0.756  0.862
O  0.771  0.314  0.589
Sb  0.000  0.000  0.000

Properties
The space-group type is C2/m, No. 12. The value obtained for the energy relative to the elements, uncorrected is -2.004 eV/atom. The value obtained for the energy above the lowest structure with this stoichiometry is 3.80 kJ per mole of atoms. For the total DFT energy (no corrections), the calculation gives -6.490 eV per atom.



DFT (PBE) results for PdAuBr2 after structural relaxation.

Cell: 4.924 4.924 4.924 Å, 60.00 60.00 60.00°
Site moments in Bohr magnetons follow the coordinates.
Atoms (fractional coordinates):
Au  0.500  0.500  0.500  0.08
Br  0.250  0.250  0.250  0.16
Br  0.750  0.750  0.750  0.16
Pd  0.000  0.000  0.000  0.56

Properties
The space-group type is Fm-3m, No. 225. The value obtained for the energy relative to the elements, uncorrected is 0.404 eV/atom. The value obtained for the energy above the lowest structure with this stoichiometry is 32.53 kJ per mole of atoms. For the total DFT energy (no corrections), the calculation gives -2.550 eV per atom.



DFT (PBE) results for Pm2PrMg6 after structural relaxation.

Cell: 3.334 9.217 9.217 Å, 59.99 90.00 90.00°
Atoms (fractional coordinates):
Mg  0.500  0.666  0.334
Mg  0.501  0.334  0.000
Pm  0.000  0.667  0.667
Mg  0.499  0.000  0.666
Pr  0.000  0.000  0.000
Mg  0.499  0.666  0.000
Mg  0.500  0.334  0.666
Mg  0.501  0.000  0.334
Pm  0.000  0.333  0.333

Properties
The space-group type is P6/mmm, No. 191. For the total DFT energy (no corrections), the calculation gives -2.749 eV per atom. The calculation puts the formation energy at -2.28 kcal/mol of atoms.



DFT (PBE) results for CaLaNd2In4 after structural relaxation.

Cell: 5.486 5.486 9.599 Å, 73.40 73.40 60.00°
Atoms (fractional coordinates):
Ca  0.500  0.500  0.500
In  0.125  0.125  0.625
In  0.875  0.875  0.375
In  0.375  0.375  0.875
La  0.000  0.000  0.000
Nd  0.753  0.753  0.740
In  0.625  0.625  0.125
Nd  0.247  0.247  0.260

Properties
The space-group type is R-3m, No. 166. For the total DFT energy (no corrections), the calculation gives -3.914 eV per atom. The calculation puts the formation energy at -11.23 kcal/mol of atoms.



DFT (PBE) results for Y4AgPd12 after structural relaxation.

Cell: 7.409 7.409 7.409 Å, 109.47 109.47 109.47°
Atoms (fractional coordinates):
Pd  0.000  0.302  0.302
Pd  0.500  0.750  0.250
Pd  0.250  0.500  0.750
Pd  0.500  0.250  0.750
Ag  0.000  0.000  0.000
Pd  0.750  0.500  0.250
Y  0.500  0.000  0.000
Pd  0.302  0.302  0.000
Y  0.000  0.000  0.500
Pd  0.750  0.250  0.500
Y  0.500  0.500  0.500
Pd  0.302  0.000  0.302
Pd  0.698  0.698  0.000
Pd  0.698  0.000  0.698
Pd  0.250  0.750  0.500
Pd  0.000  0.698  0.698
Y  0.000  0.500  0.000

Properties
The space-group type is Im-3m, No. 229. For the total DFT energy (no corrections), the calculation gives -6.076 eV per atom. The calculation puts the formation energy at -16.64 kcal/mol of atoms.



DFT (PBE) results for Na5Sr6Tl after structural relaxation.

Cell: 6.227 8.795 9.850 Å, 90.00 108.21 90.00°
Atoms (fractional coordinates):
Na  0.330  0.500  0.658
Sr  0.500  0.229  0.000
Sr  0.844  0.762  0.687
Sr  0.156  0.238  0.313
Sr  0.844  0.238  0.687
Tl  0.000  0.000  0.000
Na  0.670  0.500  0.342
Sr  0.156  0.762  0.313
Na  0.674  0.000  0.348
Na  0.326  0.000  0.652
Sr  0.500  0.771  0.000
Na  0.000  0.500  0.000

Properties
The space-group type is P2/m, No. 10. For the total DFT energy (no corrections), the calculation gives -1.641 eV per atom. The calculation puts the formation energy at -1.22 kcal/mol of atoms.



DFT (PBE) results for NdZn4Rh after structural relaxation.

Cell: 4.741 6.845 7.230 Å, 90.00 109.14 90.00°
Atoms (fractional coordinates):
Zn  0.000  0.000  0.000
Zn  0.226  0.426  0.452
Zn  0.400  0.250  0.801
Nd  0.388  0.750  0.777
Zn  0.774  0.926  0.548
Zn  0.226  0.074  0.452
Zn  0.774  0.574  0.548
Rh  0.859  0.250  0.717
Zn  0.000  0.500  0.000
Rh  0.141  0.750  0.283
Zn  0.600  0.750  0.199
Nd  0.612  0.250  0.223

Properties
The space-group type is Cmcm, No. 63. The value obtained for the energy above the lowest structure with this stoichiometry is 9.10 kJ per mole of atoms. For the total DFT energy (no corrections), the calculation gives -3.175 eV per atom. The calculation puts the formation energy at -7.05 kcal/mol of atoms.



DFT (PBE) results for KNpP after structural relaxation.

Cell: 3.775 12.149 4.529 Å, 71.33 90.00 98.94°
Site moments in Bohr magnetons follow the coordinates.
Atoms (fractional coordinates):
P  0.826  0.652  0.034  -0.03
Np  0.241  0.482  0.346  1.31
Np  0.759  0.518  0.654  1.31
K  0.403  0.807  0.421  0.00
K  0.597  0.193  0.579  0.00
P  0.174  0.348  0.966  -0.03

Properties
The space-group type is C2/m, No. 12. For the total DFT energy (no corrections), the calculation gives -6.773 eV per atom. The calculation puts the formation energy at -6.71 kcal/mol of atoms.



DFT (PBE) results for AlNiTe2 after structural relaxation.

Cell: 3.373 3.368 7.282 Å, 90.00 90.00 90.00°
Atoms (fractional coordinates):
Al  0.500  0.500  0.250
Ni  0.500  0.500  0.750
Te  0.000  0.000  0.973
Te  0.000  0.000  0.527

Properties
The space-group type is P4/mmm, No. 123. The value obtained for the energy relative to the elements, uncorrected is 0.273 eV/atom. For the total DFT energy (no corrections), the calculation gives -3.678 eV per atom.



DFT (PBE) results for KSi after structural relaxation.

Cell: 5.340 5.340 5.340 Å, 118.83 118.83 92.05°
Atoms (fractional coordinates):
K  0.250  0.750  0.500
K  0.000  0.000  0.000
Si  0.750  0.250  0.500
Si  0.500  0.500  0.000

Properties
The space-group type is I4_1/amd, No. 141. The value obtained for the energy relative to the elements, uncorrected is 0.548 eV/atom. The value obtained for the energy above the lowest structure with this stoichiometry is 59.90 kJ per mole of atoms. For the total DFT energy (no corrections), the calculation gives -2.712 eV per atom.



DFT (PBE) results for AcTlCdF6 after structural relaxation.

Cell: 8.335 7.761 8.037 Å, 118.87 121.24 90.00°
Atoms (fractional coordinates):
F  0.550  0.388  0.722
F  0.607  0.857  0.213
Ac  0.000  0.000  0.500
F  0.172  0.388  0.722
Ac  0.500  0.000  0.500
F  0.828  0.166  0.278
Tl  0.809  0.559  0.618
F  0.828  0.612  0.278
F  0.172  0.834  0.722
Tl  0.191  0.441  0.382
Cd  0.500  0.000  0.000
Cd  0.500  0.500  0.000
F  0.450  0.612  0.278
F  0.138  0.888  0.276
F  0.393  0.143  0.787
F  0.450  0.166  0.278
F  0.862  0.112  0.724
F  0.550  0.834  0.722

Properties
The space-group type is Imma, No. 74. The value obtained for the energy relative to the elements, uncorrected is -2.929 eV/atom. For the total DFT energy (no corrections), the calculation gives -4.998 eV per atom.



DFT (PBE) results for SrH3Pt after structural relaxation.

Cell: 3.795 3.795 4.502 Å, 90.00 90.00 90.00°
Atoms (fractional coordinates):
H  0.000  0.000  0.645
Pt  0.500  0.500  0.501
H  0.000  0.500  0.491
H  0.500  0.000  0.491
Sr  0.000  0.000  0.136

Properties
The space-group type is P4mm, No. 99. For the total DFT energy (no corrections), the calculation gives -3.581 eV per atom.



Number 1: M_tot 0.00 μB per cell. Number 2: M_tot 1.00 μB per cell. Number 3: M_tot 0.00 μB per cell. Number 4: M_tot 0.00 μB per cell. Number 5: M_tot 0.00 μB per cell. Number 6: M_tot 0.00 μB per cell. Number 7: M_tot 0.00 μB per cell. Number 8: M_tot 2.52 μB per cell. Number 9: M_tot 0.00 μB per cell. Number 10: M_tot 0.00 μB per cell. Number 11: M_tot 0.00 μB per cell. Number 12: M_tot 0.00 μB per cell.